(1)
The following is a DFT calculation (PBE) of B5C7 after structural relaxation.

a b c (Å): 6.8544 6.8544 4.5687
angles (deg): 105.34 105.34 22.15
Sites, in units of the cell vectors:
B: 0.0000 0.0000 0.0000
B: 0.1413 0.1413 0.2275
B: 0.3414 0.3414 0.0351
B: 0.4784 0.4784 0.2219
B: 0.5195 0.5195 0.6249
C: 0.1809 0.1809 0.5898
C: 0.3003 0.3003 0.6722
C: 0.6435 0.6435 0.7240
C: 0.6846 0.6846 0.0733
C: 0.7995 0.7995 0.1908
C: 0.8393 0.8393 0.5405
C: 0.9568 0.9568 0.6428

Summary:
As for the space group: No. 8. Its total magnetic moment is 0.000 μB/f.u. As for the calculated total energy: -7.73 eV/atom. Its crystal system is monoclinic. The value obtained for the energy above the most stable polymorph in this dataset is 0.176 eV per atom. Its density of states at the Fermi level is 1.8 states/eV/cell.

(2)
The following is a DFT calculation (PBE) of LiGdCd2 after structural relaxation.

a b c (Å): 3.4777 3.4777 7.5302
angles (deg): 90.00 90.00 90.00
Sites, in units of the cell vectors:
Li: 0.0000 0.0000 0.0000
Gd: 0.0000 0.0000 0.5000
Cd: 0.5000 0.5000 0.2091
Cd: 0.5000 0.5000 0.7909

Summary:
As for the space group: No. 123. Its total magnetic moment is 7.620 μB/f.u. As for the calculated total energy: -4.73 eV/atom. Its crystal system is tetragonal. The value obtained for the energy above the most stable polymorph in this dataset is 0.000 eV per atom. Its density of states at the Fermi level is 3.6 states/eV/cell.